Entry 1:
# PBE GeWBr2, optimized geometry
# Formation energy without anion corrections: 623 meV/atom
# Total moment: 0.00 μB per cell
# Total DFT energy (no corrections): -18.4 eV for the cell shown
# Offset from the most stable computed form: 148 meV/atom
data_GeWBr2
_chemical_formula_sum 'Ge1 W1 Br2'
_symmetry_space_group_name_H-M 'P 1'
_symmetry_Int_Tables_number 1
_symmetry_space_group_name_Hall 'P 1'
_cell_length_a 10.014
_cell_length_b 10.014
_cell_length_c 10.014
_cell_angle_alpha 18.28
_cell_angle_beta 18.28
_cell_angle_gamma 18.28
loop_
_atom_site_label
_atom_site_type_symbol
_atom_site_fract_x
_atom_site_fract_y
_atom_site_fract_z
_atom_site_occupancy
Ge1 Ge 0.500 0.500 0.500 1
Br1 Br 0.918 0.918 0.918 1
Br2 Br 0.082 0.082 0.082 1
W1 W 0.000 0.000 0.000 1

=====

Entry 2:
# PBE GeWBr2, optimized geometry
# Formation energy without anion corrections: 492 meV/atom
# Total moment: 0.00 μB per cell
# Total DFT energy (no corrections): -18.9 eV for the cell shown
# Offset from the most stable computed form: 17 meV/atom
data_GeWBr2
_chemical_formula_sum 'Ge1 W1 Br2'
_symmetry_space_group_name_H-M 'P 1'
_symmetry_Int_Tables_number 1
_symmetry_space_group_name_Hall 'P 1'
_cell_length_a 11.590
_cell_length_b 11.590
_cell_length_c 11.590
_cell_angle_alpha 15.78
_cell_angle_beta 15.78
_cell_angle_gamma 15.78
loop_
_atom_site_label
_atom_site_type_symbol
_atom_site_fract_x
_atom_site_fract_y
_atom_site_fract_z
_atom_site_occupancy
Ge1 Ge 0.000 0.000 0.000 1
Br1 Br 0.888 0.888 0.888 1
Br2 Br 0.112 0.112 0.112 1
W1 W 0.500 0.500 0.500 1